Record 1
# CdIn2Os, relaxed, DFT GGA-PBEsol
data_CdIn2Os
_cell_length_a 4.094
_cell_length_b 4.096
_cell_length_c 5.237
_cell_angle_alpha 113.02
_cell_angle_beta 113.01
_cell_angle_gamma 90.00
_symmetry_space_group_name_H-M 'P 1'
_symmetry_Int_Tables_number 1
_symmetry_space_group_name_Hall 'P 1'
loop_
_atom_site_label
_atom_site_type_symbol
_atom_site_fract_x
_atom_site_fract_y
_atom_site_fract_z
Cd1 Cd 0.250 0.750 0.500
In1 In 0.000 0.000 0.000
In2 In 0.750 0.250 0.500
Os1 Os 0.500 0.500 0.000
# formation enthalpy at 0 K	0.36	eV/atom

---

Record 2
# Cd2InP2, relaxed, DFT GGA-PBEsol
data_Cd2InP2
_cell_length_a 4.222
_cell_length_b 4.222
_cell_length_c 6.720
_cell_angle_alpha 108.31
_cell_angle_beta 108.31
_cell_angle_gamma 90.00
_symmetry_space_group_name_H-M 'P 1'
_symmetry_Int_Tables_number 1
_symmetry_space_group_name_Hall 'P 1'
loop_
_atom_site_label
_atom_site_type_symbol
_atom_site_fract_x
_atom_site_fract_y
_atom_site_fract_z
P1 P 0.250 0.750 0.500
P2 P 0.750 0.250 0.500
Cd1 Cd 0.387 0.387 0.774
Cd2 Cd 0.613 0.613 0.226
In1 In 0.000 0.000 0.000
# formation enthalpy at 0 K	0.30	eV/atom

---

Record 3
# CdInP, relaxed, DFT GGA-PBEsol
data_CdInP
_cell_length_a 4.637
_cell_length_b 4.637
_cell_length_c 4.637
_cell_angle_alpha 60.00
_cell_angle_beta 60.00
_cell_angle_gamma 60.00
_symmetry_space_group_name_H-M 'P 1'
_symmetry_Int_Tables_number 1
_symmetry_space_group_name_Hall 'P 1'
loop_
_atom_site_label
_atom_site_type_symbol
_atom_site_fract_x
_atom_site_fract_y
_atom_site_fract_z
Cd1 Cd 0.750 0.750 0.750
In1 In 0.000 0.000 0.000
P1 P 0.500 0.500 0.500
# formation enthalpy at 0 K	0.28	eV/atom

---

Record 4
# Cd2InP, relaxed, DFT GGA-PBEsol
data_Cd2InP
_cell_length_a 4.940
_cell_length_b 4.940
_cell_length_c 4.940
_cell_angle_alpha 60.00
_cell_angle_beta 60.00
_cell_angle_gamma 60.00
_symmetry_space_group_name_H-M 'P 1'
_symmetry_Int_Tables_number 1
_symmetry_space_group_name_Hall 'P 1'
loop_
_atom_site_label
_atom_site_type_symbol
_atom_site_fract_x
_atom_site_fract_y
_atom_site_fract_z
Cd1 Cd 0.000 0.000 0.000
Cd2 Cd 0.750 0.750 0.750
In1 In 0.500 0.500 0.500
P1 P 0.250 0.250 0.250
# formation enthalpy at 0 K	0.26	eV/atom

---

Record 5
# CdIn3P, relaxed, DFT GGA-PBEsol
data_CdIn3P
_cell_length_a 5.204
_cell_length_b 5.204
_cell_length_c 5.204
_cell_angle_alpha 90.00
_cell_angle_beta 90.00
_cell_angle_gamma 90.00
_symmetry_space_group_name_H-M 'P 1'
_symmetry_Int_Tables_number 1
_symmetry_space_group_name_Hall 'P 1'
loop_
_atom_site_label
_atom_site_type_symbol
_atom_site_fract_x
_atom_site_fract_y
_atom_site_fract_z
P1 P 0.000 0.000 0.000
Cd1 Cd 0.500 0.500 0.500
In1 In 0.000 0.500 0.000
In2 In 0.000 0.000 0.500
In3 In 0.500 0.000 0.000
# formation enthalpy at 0 K	0.36	eV/atom

---

Record 6
# CdIn2Pb, relaxed, DFT GGA-PBEsol
data_CdIn2Pb
_cell_length_a 3.316
_cell_length_b 5.095
_cell_length_c 6.201
_cell_angle_alpha 90.00
_cell_angle_beta 100.19
_cell_angle_gamma 90.00
_symmetry_space_group_name_H-M 'P 1'
_symmetry_Int_Tables_number 1
_symmetry_space_group_name_Hall 'P 1'
loop_
_atom_site_label
_atom_site_type_symbol
_atom_site_fract_x
_atom_site_fract_y
_atom_site_fract_z
Pb1 Pb 0.480 0.000 0.534
In1 In 0.174 0.000 0.016
In2 In 0.790 0.500 0.219
Cd1 Cd 0.056 0.500 0.731
# formation enthalpy at 0 K	0.05	eV/atom

---

Record 7
# CdInPb2, relaxed, DFT GGA-PBEsol
data_CdInPb2
_cell_length_a 3.407
_cell_length_b 5.801
_cell_length_c 5.860
_cell_angle_alpha 105.01
_cell_angle_beta 106.90
_cell_angle_gamma 90.00
_symmetry_space_group_name_H-M 'P 1'
_symmetry_Int_Tables_number 1
_symmetry_space_group_name_Hall 'P 1'
loop_
_atom_site_label
_atom_site_type_symbol
_atom_site_fract_x
_atom_site_fract_y
_atom_site_fract_z
Pb1 Pb 0.006 0.023 0.012
Pb2 Pb 0.240 0.721 0.479
In1 In 0.763 0.244 0.526
Cd1 Cd 0.492 0.512 0.983
# formation enthalpy at 0 K	0.04	eV/atom
# ΔE to the lowest computed polymorph	3	meV/atom

---

Record 8
# CdInPb2, relaxed, DFT GGA-PBEsol
data_CdInPb2
_cell_length_a 3.318
_cell_length_b 6.321
_cell_length_c 6.321
_cell_angle_alpha 116.58
_cell_angle_beta 102.43
_cell_angle_gamma 102.43
_symmetry_space_group_name_H-M 'P 1'
_symmetry_Int_Tables_number 1
_symmetry_space_group_name_Hall 'P 1'
loop_
_atom_site_label
_atom_site_type_symbol
_atom_site_fract_x
_atom_site_fract_y
_atom_site_fract_z
Pb1 Pb 0.000 0.500 0.000
Pb2 Pb 0.000 0.000 0.500
In1 In 0.500 0.500 0.500
Cd1 Cd 0.500 0.000 0.000
# formation enthalpy at 0 K	0.08	eV/atom
# ΔE to the lowest computed polymorph	40	meV/atom